# 1
DFT (PBE) results for a relaxed structure of Sr2S2O7.

Output
Raw total energy ... -6.378 eV/atom
SG ... Cm, No. 8
DOS(E_F) ... 0.00 states/eV/atom
V ... 15.8 Å³ per atom

a = 4.991 Å, b = 6.110 Å, c = 6.110 Å
α = 91.96°, β = 104.73°, γ = 104.73°
Sites, in units of the cell vectors:
O 0.724 0.847 0.564
O 0.229 0.156 0.441
O 0.704 0.944 0.944
O 0.724 0.564 0.847
O 0.678 0.365 0.365
O 0.288 0.674 0.674
O 0.229 0.441 0.156
Sr 0.978 0.278 0.729
Sr 0.978 0.729 0.278
S 0.360 0.247 0.247
S 0.608 0.755 0.755

# 2
DFT (PBE) results for a relaxed structure of SrSO3.

Output
Raw total energy ... -6.260 eV/atom
SG ... Ama2, No. 40
DOS(E_F) ... 0.00 states/eV/atom
V ... 16.7 Å³ per atom

a = 4.503 Å, b = 4.503 Å, c = 8.853 Å
α = 90.00°, β = 90.00°, γ = 111.73°
Sites, in units of the cell vectors:
O 0.325 0.699 0.392
O 0.325 0.699 0.108
O 0.699 0.325 0.892
O 0.818 0.966 0.250
O 0.966 0.818 0.750
O 0.699 0.325 0.608
Sr 0.114 0.114 0.000
Sr 0.114 0.114 0.500
S 0.510 0.663 0.250
S 0.663 0.510 0.750

# 3
DFT (PBE) results for a relaxed structure of SrSO2.

Output
Raw total energy ... -4.915 eV/atom
SG ... I-42d, No. 122
DOS(E_F) ... 0.00 states/eV/atom
V ... 17.1 Å³ per atom

a = 4.629 Å, b = 4.629 Å, c = 7.165 Å
α = 71.16°, β = 71.16°, γ = 90.00°
Sites, in units of the cell vectors:
Sr 0.750 0.250 0.500
Sr 0.000 0.000 0.000
O 0.204 0.625 0.250
O 0.875 0.796 0.750
O 0.375 0.454 0.750
O 0.546 0.125 0.250
S 0.500 0.500 0.000
S 0.250 0.750 0.500

# 4
DFT (PBE) results for a relaxed structure of Sr3S2O.

Output
Raw total energy ... -5.291 eV/atom
SG ... C2/c, No. 15
DOS(E_F) ... 0.00 states/eV/atom
V ... 24.7 Å³ per atom

a = 6.005 Å, b = 8.044 Å, c = 7.130 Å
α = 106.39°, β = 114.90°, γ = 90.00°
Sites, in units of the cell vectors:
Sr 0.853 0.426 0.706
Sr 0.147 0.574 0.294
Sr 0.547 0.750 0.000
Sr 0.147 0.074 0.294
Sr 0.853 0.926 0.706
Sr 0.453 0.250 0.000
S 0.670 0.085 0.341
S 0.672 0.585 0.341
S 0.330 0.915 0.659
S 0.328 0.415 0.659
O 0.957 0.750 0.000
O 0.043 0.250 0.000